1.
Sn4SbS5 after structural relaxation. Source: Alexandria, functional PBE.

Values from the calculation:
* symmetry: I4 (79)
* crystal system: tetragonal
* density of states at the Fermi level: 0.309 states/eV/atom

abc: 5.960 7.144 7.144
angles: 79.98 65.34 65.34
Sites, in units of the cell vectors:
Sn 0.615 0.601 0.194
Sn 0.216 0.194 0.399
Sn 0.409 0.399 0.806
Sn 0.809 0.806 0.601
S 0.877 0.389 0.815
S 0.081 0.611 0.185
S 0.266 0.815 0.611
S 0.692 0.185 0.389
S 0.538 0.000 0.000
Sb 0.008 0.000 0.000


2.
SnSbS2 after structural relaxation. Source: Alexandria, functional PBE.

Values from the calculation:
* symmetry: R3m (160)
* crystal system: trigonal
* density of states at the Fermi level: 0.400 states/eV/atom

abc: 3.767 3.767 8.255
angles: 76.81 76.81 60.00
Sites, in units of the cell vectors:
S 0.264 0.264 0.208
S 0.079 0.079 0.764
Sn 0.491 0.491 0.527
Sb 0.666 0.666 0.002


3.
SnSbS4 after structural relaxation. Source: Alexandria, functional PBE.

Values from the calculation:
* symmetry: P2/m (10)
* crystal system: monoclinic
* density of states at the Fermi level: 0.458 states/eV/atom

abc: 3.718 6.772 6.478
angles: 91.01 90.00 90.00
Sites, in units of the cell vectors:
S 0.500 0.220 0.845
S 0.500 0.780 0.155
S 0.000 0.224 0.329
S 0.000 0.776 0.671
Sb 0.500 0.000 0.500
Sn 0.000 0.000 0.000


4.
SnSbS3 after structural relaxation. Source: Alexandria, functional PBE.

Values from the calculation:
* symmetry: P2_1/c (14)
* crystal system: monoclinic
* density of states at the Fermi level: 0.271 states/eV/atom
* ΔE to the lowest computed polymorph: 0.011 eV per atom

abc: 7.164 9.093 8.775
angles: 108.87 90.00 90.00
Sites, in units of the cell vectors:
Sb 0.270 0.915 0.979
Sb 0.770 0.085 0.521
Sb 0.230 0.915 0.479
Sb 0.730 0.085 0.021
S 0.627 0.349 0.040
S 0.135 0.346 0.071
S 0.127 0.651 0.460
S 0.978 0.946 0.288
S 0.373 0.651 0.960
S 0.478 0.054 0.212
S 0.022 0.054 0.712
S 0.522 0.946 0.788
S 0.865 0.654 0.929
S 0.365 0.346 0.571
S 0.635 0.654 0.429
S 0.873 0.349 0.540
Sn 0.881 0.563 0.191
Sn 0.119 0.437 0.809
Sn 0.381 0.437 0.309
Sn 0.619 0.563 0.691


5.
SnSb3S6 after structural relaxation. Source: Alexandria, functional PBE.

Values from the calculation:
* symmetry: P2_1/m (11)
* crystal system: monoclinic
* density of states at the Fermi level: 0.506 states/eV/atom

abc: 3.854 12.208 11.505
angles: 107.80 90.00 90.00
Sites, in units of the cell vectors:
S 0.750 0.128 0.488
S 0.250 0.205 0.250
S 0.250 0.056 0.893
S 0.250 0.872 0.512
S 0.750 0.396 0.076
S 0.250 0.528 0.368
S 0.750 0.795 0.750
S 0.250 0.604 0.924
S 0.250 0.280 0.755
S 0.750 0.720 0.245
S 0.750 0.944 0.107
S 0.750 0.472 0.632
Sn 0.250 0.013 0.326
Sn 0.750 0.987 0.674
Sb 0.250 0.856 0.912
Sb 0.250 0.553 0.152
Sb 0.750 0.144 0.088
Sb 0.750 0.447 0.848
Sb 0.250 0.315 0.552
Sb 0.750 0.685 0.448


6.
SnSbS4 after structural relaxation. Source: Alexandria, functional PBE.

Values from the calculation:
* symmetry: C2/m (12)
* crystal system: monoclinic
* density of states at the Fermi level: 0.460 states/eV/atom

abc: 3.718 6.477 7.741
angles: 115.56 103.90 90.00
Sites, in units of the cell vectors:
Sb 0.500 0.500 0.000
S 0.389 0.727 0.778
S 0.113 0.791 0.225
S 0.611 0.273 0.222
S 0.887 0.209 0.775
Sn 0.000 0.000 0.000


7.
SnSbS3 after structural relaxation. Source: Alexandria, functional PBE.

Values from the calculation:
* symmetry: Pm-3m (221)
* crystal system: cubic
* density of states at the Fermi level: 0.721 states/eV/atom
* ΔE to the lowest computed polymorph: 0.355 eV per atom

abc: 5.024 5.024 5.024
angles: 90.00 90.00 90.00
Sites, in units of the cell vectors:
Sb 0.000 0.000 0.000
S 0.500 0.000 0.000
S 0.000 0.500 0.000
S 0.000 0.000 0.500
Sn 0.500 0.500 0.500


8.
SnSbS2 after structural relaxation. Source: Alexandria, functional PBE.

Values from the calculation:
* symmetry: C2/m (12)
* crystal system: monoclinic
* density of states at the Fermi level: 0.115 states/eV/atom

abc: 3.808 6.709 9.237
angles: 88.21 101.90 90.00
Sites, in units of the cell vectors:
S 0.395 0.604 0.402
S 0.617 0.257 0.845
S 0.843 0.080 0.297
S 0.064 0.733 0.740
Sb 0.199 0.369 0.009
Sb 0.262 0.968 0.133
Sn 0.972 0.426 0.556
Sn 0.487 0.911 0.586


9.
SnSbS2 after structural relaxation. Source: Alexandria, functional PBE.

Values from the calculation:
* symmetry: R-3m (166)
* crystal system: trigonal
* density of states at the Fermi level: 0.326 states/eV/atom

abc: 8.786 8.786 8.786
angles: 24.85 24.85 24.85
Sites, in units of the cell vectors:
S 0.104 0.104 0.104
S 0.896 0.896 0.896
Sn 0.500 0.500 0.500
Sb 0.000 0.000 0.000


10.
SnSbS2 after structural relaxation. Source: Alexandria, functional PBE.

Values from the calculation:
* symmetry: I-42d (122)
* crystal system: tetragonal
* density of states at the Fermi level: 0.433 states/eV/atom

abc: 5.305 5.305 8.868
angles: 72.60 72.60 90.00
Sites, in units of the cell vectors:
S 0.375 0.363 0.750
S 0.637 0.125 0.250
S 0.113 0.625 0.250
S 0.875 0.887 0.750
Sn 0.500 0.500 0.000
Sn 0.250 0.750 0.500
Sb 0.750 0.250 0.500
Sb 0.000 0.000 0.000


11.
Sn2Sb2S5 after structural relaxation. Source: Alexandria, functional PBE.

Values from the calculation:
* symmetry: Pnma (62)
* crystal system: orthorhombic
* ΔE to the lowest computed polymorph: 0.000 eV per atom

abc: 3.968 11.513 20.498
angles: 90.00 90.00 90.00
Sites, in units of the cell vectors:
S 0.250 0.369 0.980
S 0.250 0.825 0.370
S 0.250 0.675 0.870
S 0.250 0.075 0.078
S 0.750 0.325 0.130
S 0.250 0.754 0.171
S 0.250 0.746 0.671
S 0.750 0.175 0.630
S 0.250 0.504 0.272
S 0.750 0.496 0.728
S 0.750 0.575 0.422
S 0.750 0.246 0.829
S 0.750 0.925 0.922
S 0.750 0.869 0.520
S 0.750 0.254 0.329
S 0.750 0.004 0.228
S 0.750 0.631 0.020
S 0.250 0.425 0.578
S 0.250 0.131 0.480
S 0.250 0.996 0.772
Sb 0.750 0.623 0.632
Sb 0.750 0.291 0.530
Sb 0.750 0.209 0.030
Sb 0.250 0.791 0.970
Sb 0.250 0.123 0.868
Sb 0.250 0.709 0.470
Sb 0.750 0.877 0.132
Sb 0.250 0.377 0.368
Sn 0.750 0.664 0.298
Sn 0.750 0.836 0.798
Sn 0.750 0.997 0.411
Sn 0.250 0.336 0.702
Sn 0.250 0.497 0.089
Sn 0.250 0.164 0.202
Sn 0.750 0.503 0.911
Sn 0.250 0.003 0.589


12.
SnSbS2 after structural relaxation. Source: Alexandria, functional PBE.

Values from the calculation:
* symmetry: R-3m (166)
* crystal system: trigonal
* density of states at the Fermi level: 0.209 states/eV/atom

abc: 9.022 9.022 9.022
angles: 24.34 24.34 24.34
Sites, in units of the cell vectors:
S 0.105 0.105 0.105
S 0.895 0.895 0.895
Sn 0.000 0.000 0.000
Sb 0.500 0.500 0.500


Number 1: size of the total moment 0.00 μB per formula unit, ΔE_f (raw) -0.2980 eV per atom, raw total energy -4.38 eV per atom. Number 2: size of the total moment 0.00 μB per formula unit, ΔE_f (raw) -0.1303 eV per atom, raw total energy -4.23 eV per atom. Number 3: size of the total moment 0.00 μB per formula unit, ΔE_f (raw) -0.2306 eV per atom, raw total energy -4.34 eV per atom. Number 4: size of the total moment 0.00 μB per formula unit, ΔE_f (raw) -0.1891 eV per atom, raw total energy -4.29 eV per atom. Number 5: size of the total moment 0.00 μB per formula unit, ΔE_f (raw) -0.2221 eV per atom, raw total energy -4.34 eV per atom. Number 6: size of the total moment 0.00 μB per formula unit, ΔE_f (raw) -0.2307 eV per atom, raw total energy -4.34 eV per atom. Number 7: size of the total moment 0.00 μB per formula unit, ΔE_f (raw) 0.1553 eV per atom, raw total energy -3.95 eV per atom. Number 8: size of the total moment 0.00 μB per formula unit, ΔE_f (raw) -0.2403 eV per atom, raw total energy -4.34 eV per atom. Number 9: size of the total moment 0.00 μB per formula unit, ΔE_f (raw) -0.1381 eV per atom, raw total energy -4.23 eV per atom. Number 10: size of the total moment 0.00 μB per formula unit, ΔE_f (raw) 0.0022 eV per atom, raw total energy -4.09 eV per atom. Number 11: size of the total moment 0.00 μB per formula unit, ΔE_f (raw) -0.3220 eV per atom, raw total energy -4.42 eV per atom. Number 12: size of the total moment 0.00 μB per formula unit, ΔE_f (raw) -0.1158 eV per atom, raw total energy -4.21 eV per atom.